Record 1
Here is an optimized crystal structure of FeCu5Pd5 from Alexandria via LeMat-Bulk. Energies are from PBE.

Output
The value obtained for the total moment is 4.0 Bohr magnetons per cell. The calculation puts the formation energy at 0.019 eV/atom. For the calculated density, the calculation gives 9666 kg/m³.

Unit cell a=4.774 b=4.977 c=6.605 alpha=94.80 beta=94.42 gamma=93.32
Atoms (fractional coordinates):
Fe 0.000 0.000 0.000
Cu 0.243 0.713 0.720
Cu 0.287 0.400 0.358
Cu 0.500 0.000 0.500
Cu 0.713 0.600 0.642
Cu 0.757 0.287 0.280
Pd 0.000 0.500 0.000
Pd 0.004 0.187 0.648
Pd 0.495 0.227 0.888
Pd 0.505 0.773 0.112
Pd 0.996 0.813 0.352

=====

Record 2
Here is an optimized crystal structure of Al3ReAu from Alexandria via LeMat-Bulk. Energies are from PBE.

Output
The value obtained for the total moment is 0.0 Bohr magnetons per cell. The calculation puts the formation energy at 0.466 eV/atom. For the calculated density, the calculation gives 7190 kg/m³.

Unit cell a=4.750 b=4.750 c=4.750 alpha=90.00 beta=90.00 gamma=90.00
Atoms (fractional coordinates):
Al 0.000 0.000 0.500
Al 0.000 0.500 0.000
Al 0.500 0.000 0.000
Re 0.000 0.000 0.000
Au 0.500 0.500 0.500

=====

Record 3
Here is an optimized crystal structure of AcRhO4 from Alexandria via LeMat-Bulk. Energies are from PBE.

Output
The value obtained for the total moment is 4.1 Bohr magnetons per cell. The energy relative to the elements, uncorrected is -1.744 eV per atom. For the calculated density, the calculation gives 6767 kg/m³.

Unit cell a=5.946 b=5.946 c=6.203 alpha=104.17 beta=104.17 gamma=105.45
Atoms (fractional coordinates):
Ac 0.142 0.858 0.750
Ac 0.858 0.142 0.250
Rh 0.497 0.503 0.250
Rh 0.503 0.497 0.750
O 0.204 0.215 0.613
O 0.215 0.204 0.113
O 0.342 0.622 0.494
O 0.378 0.658 0.006
O 0.622 0.342 0.994
O 0.658 0.378 0.506
O 0.785 0.796 0.887
O 0.796 0.785 0.387

=====

Record 4
Here is an optimized crystal structure of BeFeW2 from Alexandria via LeMat-Bulk. Energies are from PBE.

Output
The value obtained for the total moment is 1.9 Bohr magnetons per cell. The calculation puts the formation energy at 0.215 eV/atom. For the calculated density, the calculation gives 13714 kg/m³.

Unit cell a=3.112 b=3.112 c=5.407 alpha=90.00 beta=90.00 gamma=90.00
Atoms (fractional coordinates):
Be 0.000 0.000 0.000
Fe 0.000 0.000 0.500
W 0.500 0.500 0.236
W 0.500 0.500 0.764

=====

Record 5
Here is an optimized crystal structure of Er3TeAs2Rh9 from Alexandria via LeMat-Bulk. Energies are from PBE.

Output
The value obtained for the total moment is 0.0 Bohr magnetons per cell. The energy relative to the elements, uncorrected is -0.452 eV per atom. For the calculated density, the calculation gives 9058 kg/m³.

Unit cell a=6.232 b=6.232 c=9.296 alpha=90.00 beta=90.00 gamma=120.00
Atoms (fractional coordinates):
Er 0.000 0.000 0.000
Er 0.333 0.667 0.752
Er 0.667 0.333 0.248
Te 0.000 0.000 0.500
As 0.333 0.667 0.170
As 0.667 0.333 0.830
Rh 0.000 0.500 0.000
Rh 0.143 0.286 0.273
Rh 0.143 0.857 0.273
Rh 0.286 0.143 0.727
Rh 0.500 0.000 0.000
Rh 0.500 0.500 0.000
Rh 0.714 0.857 0.273
Rh 0.857 0.143 0.727
Rh 0.857 0.714 0.727

=====

Record 6
Here is an optimized crystal structure of Sr2CuF from Alexandria via LeMat-Bulk. Energies are from PBE.

Output
The value obtained for the total moment is 0.0 Bohr magnetons per cell. The energy relative to the elements, uncorrected is -0.973 eV per atom. For the calculated density, the calculation gives 4181 kg/m³.

Unit cell a=5.251 b=5.251 c=5.251 alpha=60.00 beta=60.00 gamma=60.00
Atoms (fractional coordinates):
Sr 0.250 0.250 0.250
Sr 0.750 0.750 0.750
Cu 0.000 0.000 0.000
F 0.500 0.500 0.500

=====

Record 7
Here is an optimized crystal structure of MnCrGeMo from Alexandria via LeMat-Bulk. Energies are from PBE.

Output
The value obtained for the total moment is 1.1 Bohr magnetons per cell. The calculation puts the formation energy at 0.028 eV/atom. For the calculated density, the calculation gives 8779 kg/m³.

Unit cell a=4.193 b=4.193 c=4.193 alpha=60.00 beta=60.00 gamma=60.00
Atoms (fractional coordinates):
Mn 0.000 0.000 0.000
Cr 0.500 0.500 0.500
Ge 0.250 0.250 0.250
Mo 0.750 0.750 0.750

=====

Record 8
Here is an optimized crystal structure of PrNdTlBr from Alexandria via LeMat-Bulk. Energies are from PBE.

Output
The value obtained for the total moment is 0.0 Bohr magnetons per cell. The energy relative to the elements, uncorrected is -0.615 eV per atom. For the calculated density, the calculation gives 8031 kg/m³.

Unit cell a=5.501 b=5.501 c=5.501 alpha=60.00 beta=60.00 gamma=60.00
Atoms (fractional coordinates):
Pr 0.000 0.000 0.000
Nd 0.500 0.500 0.500
Tl 0.250 0.250 0.250
Br 0.750 0.750 0.750

=====

Record 9
Here is an optimized crystal structure of RbReSe2Br from Alexandria via LeMat-Bulk. Energies are from PBE.

Output
The value obtained for the total moment is 9.0 Bohr magnetons per cell. The energy relative to the elements, uncorrected is 1.716 eV per atom. For the calculated density, the calculation gives 3412 kg/m³.

Unit cell a=6.281 b=6.281 c=6.286 alpha=90.00 beta=90.00 gamma=90.00
Atoms (fractional coordinates):
Rb 0.000 0.000 0.000
Re 0.500 0.500 0.500
Se 0.000 0.500 0.000
Se 0.500 0.000 0.000
Br 0.000 0.000 0.500

=====

Record 10
Here is an optimized crystal structure of YTiMn2Ir from Alexandria via LeMat-Bulk. Energies are from PBE.

Output
The value obtained for the total moment is 5.1 Bohr magnetons per cell. The calculation puts the formation energy at 0.716 eV/atom. For the calculated density, the calculation gives 6365 kg/m³.

Unit cell a=4.691 b=4.691 c=5.204 alpha=90.00 beta=90.00 gamma=90.00
Atoms (fractional coordinates):
Y 0.000 0.000 0.000
Ti 0.500 0.500 0.000
Mn 0.000 0.500 0.500
Mn 0.500 0.000 0.500
Ir 0.000 0.000 0.500

=====

Record 11
Here is an optimized crystal structure of Ac3MgB2Pt9 from Alexandria via LeMat-Bulk. Energies are from PBE.

Output
The value obtained for the total moment is 0.0 Bohr magnetons per cell. The calculation puts the formation energy at -0.788 eV/atom. For the calculated density, the calculation gives 14038 kg/m³.

Unit cell a=5.973 b=5.973 c=9.504 alpha=90.00 beta=90.00 gamma=120.00
Atoms (fractional coordinates):
Ac 0.000 0.000 0.000
Ac 0.333 0.667 0.629
Ac 0.667 0.333 0.371
Mg 0.000 0.000 0.500
B 0.333 0.667 0.147
B 0.667 0.333 0.853
Pt 0.000 0.500 0.000
Pt 0.166 0.333 0.282
Pt 0.166 0.834 0.282
Pt 0.333 0.166 0.718
Pt 0.500 0.000 0.000
Pt 0.500 0.500 0.000
Pt 0.667 0.834 0.282
Pt 0.834 0.166 0.718
Pt 0.834 0.667 0.718

=====

Record 12
Here is an optimized crystal structure of ErLu2Th from Alexandria via LeMat-Bulk. Energies are from PBE.

Output
The value obtained for the total moment is 0.0 Bohr magnetons per cell. The calculation puts the formation energy at 0.030 eV/atom. For the calculated density, the calculation gives 10213 kg/m³.

Unit cell a=11.503 b=11.503 c=11.503 alpha=17.63 beta=17.63 gamma=17.63
Atoms (fractional coordinates):
Er 0.000 0.000 0.000
Lu 0.249 0.249 0.249
Lu 0.751 0.751 0.751
Th 0.500 0.500 0.500